Entry 1:
# CoSb2TePt, optimized geometry, DFT GGA-PBE
data_CoSb2TePt
_cell_length_a 4.758
_cell_length_b 4.758
_cell_length_c 5.094
_cell_angle_alpha 90.00
_cell_angle_beta 90.00
_cell_angle_gamma 90.00
_space_group_name_H-M_alt 'P 4/m m m'
_space_group_IT_number 123
_space_group_name_Hall '-P 4 2'
loop_
_atom_site_label
_atom_site_type_symbol
_atom_site_fract_x
_atom_site_fract_y
_atom_site_fract_z
Co1 Co 0.000 0.000 0.000
Sb1 Sb 0.000 0.500 0.000
Te1 Te 0.000 0.000 0.500
Pt1 Pt 0.500 0.500 0.500
# energy relative to the elements, uncorrected: 0.48 eV per atom
# energy above the lowest structure with this stoichiometry: 0 meV/atom
# size of the total moment: 0.000 μB/atom

---

Entry 2:
# TiCo2SbPt, optimized geometry, DFT GGA-PBE
data_TiCo2SbPt
_cell_length_a 4.558
_cell_length_b 4.558
_cell_length_c 4.916
_cell_angle_alpha 90.00
_cell_angle_beta 90.00
_cell_angle_gamma 90.00
_space_group_name_H-M_alt 'P 4/m m m'
_space_group_IT_number 123
_space_group_name_Hall '-P 4 2'
loop_
_atom_site_label
_atom_site_type_symbol
_atom_site_fract_x
_atom_site_fract_y
_atom_site_fract_z
Ti1 Ti 0.000 0.000 0.000
Co1 Co 0.000 0.500 0.500
Sb1 Sb 0.500 0.500 0.500
Pt1 Pt 0.500 0.500 0.000
# energy relative to the elements, uncorrected: 1.00 eV per atom
# size of the total moment: 0.482 μB/atom

---

Entry 3:
# V2CoSbPt, optimized geometry, DFT GGA-PBE
data_V2CoSbPt
_cell_length_a 4.753
_cell_length_b 4.753
_cell_length_c 5.054
_cell_angle_alpha 90.00
_cell_angle_beta 90.00
_cell_angle_gamma 90.00
_space_group_name_H-M_alt 'P 4/m m m'
_space_group_IT_number 123
_space_group_name_Hall '-P 4 2'
loop_
_atom_site_label
_atom_site_type_symbol
_atom_site_fract_x
_atom_site_fract_y
_atom_site_fract_z
V1 V 0.000 0.500 0.000
Co1 Co 0.000 0.000 0.500
Sb1 Sb 0.500 0.500 0.500
Pt1 Pt 0.500 0.500 0.000
# energy relative to the elements, uncorrected: 1.33 eV per atom
# size of the total moment: 1.021 μB/atom

---

Entry 4:
# ScCoPt2, optimized geometry, DFT GGA-PBE
data_ScCoPt2
_cell_length_a 6.306
_cell_length_b 6.306
_cell_length_c 6.306
_cell_angle_alpha 90.00
_cell_angle_beta 90.00
_cell_angle_gamma 90.00
_space_group_name_H-M_alt 'F -4 3 m'
_space_group_IT_number 216
_space_group_name_Hall 'F -4 2 3'
loop_
_atom_site_label
_atom_site_type_symbol
_atom_site_fract_x
_atom_site_fract_y
_atom_site_fract_z
Sc1 Sc 0.000 0.000 0.000
Co1 Co 0.250 0.250 0.750
Pt1 Pt 0.000 0.000 0.500
Pt2 Pt 0.250 0.250 0.250
# formation enthalpy at 0 K: -0.491 eV/atom
# size of the total moment: 0.399 μB/atom

---

Entry 5:
# Sc2CoPt2, optimized geometry, DFT GGA-PBE
data_Sc2CoPt2
_cell_length_a 3.721
_cell_length_b 3.721
_cell_length_c 13.951
_cell_angle_alpha 90.00
_cell_angle_beta 90.00
_cell_angle_gamma 90.00
_space_group_name_H-M_alt 'I 4/m m m'
_space_group_IT_number 139
_space_group_name_Hall '-I 4 2'
loop_
_atom_site_label
_atom_site_type_symbol
_atom_site_fract_x
_atom_site_fract_y
_atom_site_fract_z
Sc1 Sc 0.000 0.000 0.107
Co1 Co 0.000 0.000 0.500
Pt1 Pt 0.000 0.500 0.250
# formation enthalpy at 0 K: -0.379 eV/atom
# energy above the lowest structure with this stoichiometry: 351 meV/atom
# size of the total moment: 0.245 μB/atom

---

Entry 6:
# ScCoPt2, optimized geometry, DFT GGA-PBE
data_ScCoPt2
_cell_length_a 2.906
_cell_length_b 4.465
_cell_length_c 4.761
_cell_angle_alpha 90.00
_cell_angle_beta 90.00
_cell_angle_gamma 90.00
_space_group_name_H-M_alt 'P m m 2'
_space_group_IT_number 25
loop_
_space_group_symop_operation_xyz
'x,y,z'
'-x,-y,z'
'-x,y,z'
'x,-y,z'
loop_
_atom_site_label
_atom_site_type_symbol
_atom_site_fract_x
_atom_site_fract_y
_atom_site_fract_z
Sc1 Sc 0.000 0.000 0.000
Co1 Co 0.000 0.500 0.627
Pt1 Pt 0.500 0.000 0.516
Pt2 Pt 0.500 0.500 0.148
# formation enthalpy at 0 K: -0.604 eV/atom
# size of the total moment: 0.420 μB/atom

---

Look up the size of the total moment of the fifth one.
0.245 μB/atom